No. 1
The following is a DFT calculation (PBE) of an optimized crystal structure of Cr2PtAu.

POSCAR file:
```
Cr2PtAu
1.0
4.5535 -1.4292 0.0000
4.5535 1.4292 0.0000
-0.9744 0.0000 4.6302
Cr Pt Au
2 1 1
direct
0.2463 0.2463 0.1764
0.7537 0.7537 0.8236
0.5000 0.5000 0.0000
0.0000 0.0000 0.5000
```

Electronic total energy ... -6.92 eV per atom
ΔH_f (0 K) ... 0.9 eV/f.u.
Crystal system ... monoclinic

---

No. 2
The following is a DFT calculation (PBE) of an optimized crystal structure of CrPtAu2.

POSCAR file:
```
CrPtAu2
1.0
0.0000 3.2239 3.2239
3.2239 0.0000 3.2239
3.2239 3.2239 0.0000
Cr Pt Au
1 1 2
direct
0.0000 0.0000 0.0000
0.7500 0.7500 0.7500
0.2500 0.2500 0.2500
0.5000 0.5000 0.5000
```

Electronic total energy ... -5.48 eV per atom
ΔH_f (0 K) ... 0.3 eV/f.u.
Crystal system ... cubic

---

No. 3
The following is a DFT calculation (PBE) of an optimized crystal structure of CrPt2Au.

POSCAR file:
```
CrPt2Au
1.0
1.3913 0.8033 9.2459
-1.3913 0.8033 9.2459
0.0000 -1.6065 9.2459
Cr Pt Au
1 2 1
direct
0.0000 0.0000 0.0000
0.2582 0.2582 0.2582
0.7418 0.7418 0.7418
0.5000 0.5000 0.5000
```

Electronic total energy ... -6.31 eV per atom
ΔH_f (0 K) ... -0.3 eV/f.u.
Crystal system ... trigonal

---

No. 4
The following is a DFT calculation (PBE) of an optimized crystal structure of Cr2PtAu.

POSCAR file:
```
Cr2PtAu
1.0
4.6608 -1.4325 0.0000
4.6608 1.4325 0.0000
-1.1948 0.0000 4.5684
Cr Pt Au
2 1 1
direct
0.0000 0.0000 0.0000
0.7196 0.7196 0.2498
0.4727 0.4727 0.4761
0.2408 0.2408 0.7616
```

Electronic total energy ... -7.11 eV per atom
ΔH_f (0 K) ... 0.1 eV/f.u.
Crystal system ... monoclinic